An optimized crystal structure of MgBeN2F. Source: Alexandria, functional PBE.

**Energy**: -20.2 eV for the cell shown
**Space-group type**: P4/mmm, No. 123
**Distance to the lowest polymorph of the same formula**: 1.074 eV/atom
**Formation energy from raw total energies**: 0.729 eV per atom

Cell lengths 4.134, 4.134, 3.653 Å; angles 90.00, 90.00, 90.00 degrees
Site moments in Bohr magnetons follow the coordinates.
Fractional coordinates of all 5 atoms:
Be: 0.500 0.500 0.500  -0.10
Mg: 0.000 0.000 0.000  0.00
N: 0.000 0.500 0.000  1.05
N: 0.500 0.000 0.000  1.05
F: 0.000 0.000 0.500  0.10


An optimized crystal structure of Th2VPb. Source: Alexandria, functional PBE.

**Energy**: -25.5 eV for the cell shown
**Space-group type**: R-3m, No. 166
**Formation enthalpy at 0 K**: 0.53 eV/atom

Cell lengths 3.357, 3.357, 11.588 Å; angles 81.67, 81.67, 60.00 degrees
Site moments in Bohr magnetons follow the coordinates.
Fractional coordinates of all 4 atoms:
Pb: 0.500 0.500 0.500  0.01
Th: 0.081 0.081 0.757  0.04
Th: 0.919 0.919 0.243  0.04
V: 0.000 0.000 0.000  2.33


Q: Which of these has the highest energy?
A: MgBeN2F


Q: What is the formula in the second record?
A: Th2VPb


Q: energy of number 1 (MgBeN2F)?
A: -20.2 eV for the cell shown